1.
Below is a relaxed structure of TcPRu2Au, with properties calculated at the PBE level.

- N(E_F): 8.00 states/eV per cell
- Formation energy: 2.19 eV per atom
- Total DFT energy (no corrections): -5.3266 eV/atom

Cell: 4.9904 4.9904 4.3524 Å, 90.00 90.00 90.00°
Space group P4/mmm (No. 123)
Inequivalent atoms, fractional coordinates:
Tc 0.0000 0.0000 0.0000 (multiplicity 1)
P 0.5000 0.5000 0.0000 (multiplicity 1)
Ru 0.0000 0.5000 0.5000 (multiplicity 2)
Au 0.5000 0.5000 0.5000 (multiplicity 1)

***

2.
Below is a relaxed structure of YCo2Cu, with properties calculated at the PBE level.

- N(E_F): 4.57 states/eV per cell
- Relative energy among the computed polymorphs: 212 meV/atom
- Formation energy: 0.11 eV per atom
- Total DFT energy (no corrections): -6.0877 eV/atom

Cell: 3.0979 3.0979 6.4363 Å, 90.00 90.00 90.00°
Space group P4mm (No. 99)
Inequivalent atoms, fractional coordinates:
Y 0.0000 0.0000 0.0000 (multiplicity 1)
Co 0.0000 0.0000 0.4763 (multiplicity 1)
Co 0.5000 0.5000 0.3050 (multiplicity 1)
Cu 0.5000 0.5000 0.6878 (multiplicity 1)